# 1
Computed, not measured: a geometry-optimized PmTmCd5 structure at the PBE level of DFT.

## Properties
- raw total energy (eV per atom) = -2.0773
- calculated volume (Å³/cell) = 184

a b c (Å): 5.175 5.175 6.874
angles (deg): 90.00 90.00 90.00
Space group P4/mmm (No. 123)
Inequivalent atoms, fractional coordinates:
Pm1 0.000 0.000 0.000 [1 per cell]
Tm1 0.500 0.500 0.500 [1 per cell]
Cd1 0.000 0.500 0.273 [4 per cell]
Cd2 0.500 0.500 0.000 [1 per cell]

---

# 2
Computed, not measured: a geometry-optimized PmTmCd2 structure at the PBE level of DFT.

## Properties
- excess energy over the best structure of this formula in the dataset (kJ/mol of formula units) = 0.1
- raw total energy (eV per atom) = -3.0757
- calculated volume (Å³/cell) = 428

a b c (Å): 7.538 7.538 7.538
angles (deg): 90.00 90.00 90.00
Space group Fm-3m (No. 225)
Inequivalent atoms, fractional coordinates:
Pm1 0.000 0.000 0.000 [4 per cell]
Tm1 0.000 0.000 0.500 [4 per cell]
Cd1 0.250 0.250 0.250 [8 per cell]

---

# 3
Computed, not measured: a geometry-optimized Pm2TmCd2 structure at the PBE level of DFT.

## Properties
- excess energy over the best structure of this formula in the dataset (kJ/mol of formula units) = 30.8
- raw total energy (eV per atom) = -3.3409
- calculated volume (Å³/cell) = 291

a b c (Å): 5.003 6.963 8.345
angles (deg): 90.00 90.00 90.00
Space group Immm (No. 71)
Inequivalent atoms, fractional coordinates:
Pm1 0.000 0.000 0.196 [4 per cell]
Tm1 0.000 0.500 0.000 [2 per cell]
Cd1 0.000 0.287 0.500 [4 per cell]

---

# 4
Computed, not measured: a geometry-optimized Pm4Tm5Cd structure at the PBE level of DFT.

## Properties
- excess energy over the best structure of this formula in the dataset (kJ/mol of formula units) = 0.0
- raw total energy (eV per atom) = -4.2737
- calculated volume (Å³/cell) = 308

a b c (Å): 3.579 3.579 24.058
angles (deg): 90.00 90.00 90.00
Space group P4/mmm (No. 123)
Inequivalent atoms, fractional coordinates:
Pm1 0.000 0.000 0.104 [2 per cell]
Pm2 0.000 0.000 0.313 [2 per cell]
Tm1 0.500 0.500 0.000 [1 per cell]
Tm2 0.500 0.500 0.208 [2 per cell]
Tm3 0.500 0.500 0.417 [2 per cell]
Cd1 0.000 0.000 0.500 [1 per cell]

---

# 5
Computed, not measured: a geometry-optimized PmTmCd17 structure at the PBE level of DFT.

## Properties
- raw total energy (eV per atom) = -1.4155
- calculated volume (Å³/cell) = 1315

a b c (Å): 10.0513 10.0513 15.0256
angles (deg): 90.00 90.00 120.00
Space group R3m (No. 160, hexagonal axes)
Inequivalent atoms, fractional coordinates:
Pm1 0.0000 0.0000 0.0000 [3 per cell]
Tm1 0.0000 0.0000 0.6535 [3 per cell]
Cd1 0.0000 0.0000 0.2402 [3 per cell]
Cd2 0.0000 0.0000 0.4347 [3 per cell]
Cd3 0.0030 0.3052 0.3305 [18 per cell]
Cd4 0.0239 0.5120 0.1871 [9 per cell]
Cd5 0.0352 0.5176 0.8234 [9 per cell]
Cd6 0.0656 0.5328 0.4818 [9 per cell]

---

# 6
Computed, not measured: a geometry-optimized Pm6TmCd structure at the PBE level of DFT.

## Properties
- excess energy over the best structure of this formula in the dataset (kJ/mol of formula units) = 0.0
- raw total energy (eV per atom) = -4.2777
- calculated volume (Å³/cell) = 255

a b c (Å): 4.995 4.995 10.206
angles (deg): 90.00 90.00 90.00
Space group P4/mmm (No. 123)
Inequivalent atoms, fractional coordinates:
Pm1 0.000 0.000 0.000 [1 per cell]
Pm2 0.000 0.000 0.500 [1 per cell]
Pm3 0.000 0.500 0.246 [4 per cell]
Tm1 0.500 0.500 0.500 [1 per cell]
Cd1 0.500 0.500 0.000 [1 per cell]

---

# 7
Computed, not measured: a geometry-optimized Pm7Tm12Cd structure at the PBE level of DFT.

## Properties
- raw total energy (eV per atom) = -4.2075
- calculated volume (Å³/cell) = 652

a b c (Å): 8.668 8.670 8.679
angles (deg): 89.57 89.62 89.73
Space group P-1 (No. 2)
Inequivalent atoms, fractional coordinates:
Pm1 0.000 0.000 0.000 [1 per cell]
Pm2 0.119 0.716 0.267 [2 per cell]
Pm3 0.267 0.119 0.716 [2 per cell]
Pm4 0.284 0.733 0.881 [2 per cell]
Tm1 0.038 0.160 0.378 [2 per cell]
Tm2 0.161 0.378 0.039 [2 per cell]
Tm3 0.169 0.495 0.605 [2 per cell]
Tm4 0.378 0.038 0.161 [2 per cell]
Tm5 0.395 0.831 0.505 [2 per cell]
Tm6 0.495 0.606 0.169 [2 per cell]
Cd1 0.500 0.500 0.500 [1 per cell]

---

# 8
Computed, not measured: a geometry-optimized Pm8TmCd6 structure at the PBE level of DFT.

## Properties
- raw total energy (eV per atom) = -3.2847
- calculated volume (Å³/cell) = 1406

a b c (Å): 9.1147 9.1147 19.5423
angles (deg): 90.00 90.00 120.00
Space group R-3 (No. 148, hexagonal axes)
Inequivalent atoms, fractional coordinates:
Pm1 0.0000 0.0000 0.1654 [6 per cell]
Pm2 0.0016 0.6647 0.3831 [18 per cell]
Tm1 0.0000 0.0000 0.5000 [3 per cell]
Cd1 0.0004 0.3267 0.4504 [18 per cell]

---

# 9
Computed, not measured: a geometry-optimized Pm2Tm3Cd4 structure at the PBE level of DFT.

## Properties
- raw total energy (eV per atom) = -3.1202
- calculated volume (Å³/cell) = 1014

a b c (Å): 6.773 18.350 8.160
angles (deg): 90.00 90.00 90.00
Space group Cmce (No. 64)
Inequivalent atoms, fractional coordinates:
Pm1 0.000 0.093 0.101 [8 per cell]
Tm1 0.000 0.000 0.500 [4 per cell]
Tm2 0.250 0.246 0.750 [8 per cell]
Cd1 0.000 0.163 0.485 [8 per cell]
Cd2 0.250 0.075 0.750 [8 per cell]

---

# 10
Computed, not measured: a geometry-optimized Pm6Tm8Cd structure at the PBE level of DFT.

## Properties
- raw total energy (eV per atom) = -4.1137
- calculated volume (Å³/cell) = 497

a b c (Å): 9.2522 9.2522 6.6982
angles (deg): 90.00 90.00 120.00
Space group P-3 (No. 147)
Inequivalent atoms, fractional coordinates:
Pm1 0.0755 0.3952 0.3961 [6 per cell]
Tm1 0.0189 0.6850 0.1064 [6 per cell]
Tm2 0.3333 0.6667 0.8216 [2 per cell]
Cd1 0.0000 0.0000 0.5000 [1 per cell]

---

# 11
Computed, not measured: a geometry-optimized Pm12Tm5Cd2 structure at the PBE level of DFT.

## Properties
- raw total energy (eV per atom) = -4.2275
- calculated volume (Å³/cell) = 1220

a b c (Å): 15.562 9.219 8.512
angles (deg): 90.00 92.50 90.00
Space group C2/m (No. 12)
Inequivalent atoms, fractional coordinates:
Pm1 0.059 0.000 0.330 [4 per cell]
Pm2 0.082 0.500 0.883 [4 per cell]
Pm3 0.125 0.195 0.670 [8 per cell]
Pm4 0.150 0.315 0.235 [8 per cell]
Tm1 0.000 0.500 0.500 [2 per cell]
Tm2 0.196 0.000 0.018 [4 per cell]
Tm3 0.232 0.500 0.578 [4 per cell]
Cd1 0.000 0.169 0.000 [4 per cell]

---

# 12
Computed, not measured: a geometry-optimized Pm4TmCd5 structure at the PBE level of DFT.

## Properties
- raw total energy (eV per atom) = -3.1193
- calculated volume (Å³/cell) = 276

a b c (Å): 3.786 3.786 19.223
angles (deg): 90.00 90.00 90.00
Space group P4/mmm (No. 123)
Inequivalent atoms, fractional coordinates:
Pm1 0.000 0.000 0.102 [2 per cell]
Pm2 0.000 0.000 0.304 [2 per cell]
Tm1 0.000 0.000 0.500 [1 per cell]
Cd1 0.500 0.500 0.000 [1 per cell]
Cd2 0.500 0.500 0.202 [2 per cell]
Cd3 0.500 0.500 0.409 [2 per cell]